An optimized crystal structure of Li2Ni3O6. Source: Alexandria, functional PBE with a Hubbard U.

Unit cell a=4.959 b=4.959 c=5.121 alpha=80.60 beta=80.60 gamma=119.89
Fractional coordinates of all 11 atoms:
O 0.449 0.092 0.716
Li 0.672 0.328 0.000
O 0.092 0.449 0.716
O 0.551 0.908 0.284
O 0.755 0.755 0.703
O 0.245 0.245 0.297
Ni 0.500 0.500 0.500
Ni 0.165 0.835 0.500
Li 0.328 0.672 0.000
O 0.908 0.551 0.284
Ni 0.835 0.165 0.500

Properties
Raw total energy, eV per cell: -52.78
SG: No. 12
DOS(E_F), states/eV per cell: 2.76
Magnetic moment, μB/cell: 2.00
Theoretical density, g/cm3: 4.6